No. 1
## CdH2F (PBE-GGA)

Data for an optimized crystal structure of CdH2F.

The structure belongs to space group Fm-3m (No. 225); the cell edges are 5.368, 5.368 and 5.368 Å and the angles 90.00°, 90.00° and 90.00°. The asymmetric unit holds Cd at (0.000, 0.000, 0.000), H at (0.250, 0.250, 0.250) and F at (0.000, 0.000, 0.500).

Its energy is -2.1997 eV per atom. The crystal system is cubic. For the volume, the calculation gives 9.67 Å³ per atom.

=====

No. 2
## Pa3Al3ZnRe2 (PBE-GGA)

Data for an optimized crystal structure of Pa3Al3ZnRe2.

The structure belongs to space group P-62m (No. 189); the cell edges are 7.1632, 7.1632 and 3.9695 Å and the angles 90.00°, 90.00° and 120.00°. The asymmetric unit holds Pa at (0.0000, 0.5789, 0.0000), Al at (0.0000, 0.2415, 0.5000), Zn at (0.0000, 0.0000, 0.0000) and Re at (0.3333, 0.6667, 0.5000).

The crystal system is hexagonal. As for the formation energy: -0.28 eV/atom. For the volume, the calculation gives 19.60 Å³ per atom.

=====

> The lowest volume belongs to which entry?

CdH2F

=====

> Which formula does entry 1 have?

CdH2F

=====

> What is the formula in the first record?

CdH2F

=====

> Number 1 is which compound?

CdH2F